Below is a relaxed structure of Co2WI, with properties calculated at the PBE level.

spin magnetization: 0.00 μB/f.u.
ΔE_f (raw): 4.7 eV per formula unit
symmetry: Fm-3m, No. 225
mass density: 11.76 g/cm³
ΔE to the lowest computed polymorph: 147 meV per atom
DOS at the Fermi energy: 1.14 states/eV/atom

Cell lengths 4.408, 4.408, 4.408 Å; angles 60.00, 60.00, 60.00 degrees
Atoms (fractional coordinates):
I (0.000, 0.000, 0.000)
Co (0.250, 0.250, 0.250)
Co (0.750, 0.750, 0.750)
W (0.500, 0.500, 0.500)